GeHSeBr2 | PBE | relaxed

- calculated total energy (eV/atom) = -2.47
- polymorph energy (0 for the lowest one) (eV/atom) = 0.0906
- density of states at the Fermi level (states/eV/atom) = 0.8923
- crystal system = tetragonal

Cell and atoms, written as CIF:
```
data_GeHSeBr2
_symmetry_space_group_name_H-M 'P 4/m m m'
_symmetry_Int_Tables_number 123
_symmetry_space_group_name_Hall '-P 4 2'
_cell_length_a 5.2131
_cell_length_b 5.2131
_cell_length_c 5.1079
_cell_angle_alpha 90.00
_cell_angle_beta 90.00
_cell_angle_gamma 90.00
loop_
_atom_site_label
_atom_site_type_symbol
_atom_site_fract_x
_atom_site_fract_y
_atom_site_fract_z
_atom_site_occupancy
Ge1 Ge 0.0000 0.0000 0.0000 1
H1 H 0.5000 0.5000 0.5000 1
Se1 Se 0.0000 0.0000 0.5000 1
Br1 Br 0.0000 0.5000 0.0000 1
```

=====

IrPbC2 | PBE | relaxed

- calculated total energy (eV/atom) = -6.65
- density of states at the Fermi level (states/eV/atom) = 0.5068
- crystal system = tetragonal
- formation energy (meV/atom) = 1104

Cell and atoms, written as CIF:
```
data_IrPbC2
_symmetry_space_group_name_H-M 'I -4 2 d'
_symmetry_Int_Tables_number 122
_symmetry_space_group_name_Hall 'I -4 2bw'
_cell_length_a 5.3622
_cell_length_b 5.3622
_cell_length_c 9.4534
_cell_angle_alpha 90.00
_cell_angle_beta 90.00
_cell_angle_gamma 90.00
loop_
_atom_site_label
_atom_site_type_symbol
_atom_site_fract_x
_atom_site_fract_y
_atom_site_fract_z
_atom_site_occupancy
Ir1 Ir 0.0000 0.0000 0.0000 1
Pb1 Pb 0.0000 0.0000 0.5000 1
C1 C 0.1459 0.2500 0.1250 1
```

=====

TlHCl | PBE | relaxed

- calculated total energy (eV/atom) = -3.20
- polymorph energy (0 for the lowest one) (eV/atom) = 0.0000
- density of states at the Fermi level (states/eV/atom) = 0.0000
- crystal system = monoclinic

Cell and atoms, written as CIF:
```
data_TlHCl
_symmetry_space_group_name_H-M 'P 1 21/c 1'
_symmetry_Int_Tables_number 14
_symmetry_space_group_name_Hall '-P 2ybc'
_cell_length_a 8.8510
_cell_length_b 4.5064
_cell_length_c 9.0116
_cell_angle_alpha 90.00
_cell_angle_beta 102.11
_cell_angle_gamma 90.00
loop_
_atom_site_label
_atom_site_type_symbol
_atom_site_fract_x
_atom_site_fract_y
_atom_site_fract_z
_atom_site_occupancy
Tl1 Tl 0.1945 0.2491 0.1655 1
H1 H 0.4622 0.5413 0.9883 1
Cl1 Cl 0.1504 0.7468 0.4059 1
```